DFT (PBE) results for a geometry-optimized Pr8Pt3I4Br structure.

Its uncorrected formation energy is -17.0 eV/f.u. The density of states at the Fermi level is 16.71 states/eV/f.u.

The space group is R-3m (No. 166, hexagonal axes) and the conventional cell measures 8.7234, 8.7234 and 23.9045 Å, with angles of 90.00, 90.00 and 120.00 degrees. Symmetry generates all atoms from Pr at (0.0000, 0.0000, 0.2273), Pr at (0.0215, 0.5107, 0.7668), Pt at (0.0000, 0.5000, 0.5000), I at (0.0000, 0.0000, 0.0000), I at (0.0000, 0.5000, 0.0000) and Br at (0.0000, 0.0000, 0.5000).